Here is crystalline ScBe3Pt at its relaxed geometry from the Alexandria database. Energies are from PBE.

Cell lengths 4.2252, 4.2252, 4.2252 Å; angles 90.00, 90.00, 90.00 degrees
Closest atoms and distances in Å follow each position.
Atoms (fractional coordinates):
Sc 0.0000 0.0000 0.0000  12 Be 2.99
Be 0.0000 0.5000 0.5000  2 Pt 2.11
Be 0.5000 0.0000 0.5000  2 Pt 2.11
Be 0.5000 0.5000 0.0000  2 Pt 2.11
Pt 0.5000 0.5000 0.5000  6 Be 2.11

Computed properties:
ΔE_f   -163.6 meV per atom
Crystal system   cubic
Mass density   5.9 Mg/m³
Space-group type   Pm-3m, No. 221
E_tot   -24.37 eV/cell

***

Here is crystalline Pm2Y3Sc2 at its relaxed geometry from the Alexandria database. Energies are from PBE.

Cell lengths 8.4020, 8.4020, 8.5260 Å; angles 115.32, 115.32, 23.52 degrees
Closest atoms and distances in Å follow each position.
Atoms (fractional coordinates):
Pm 0.0780 0.0780 0.1959  3 Pm 3.20-3.42, 3 Y 3.36-3.45, 2 Sc 3.47
Pm 0.9220 0.9220 0.8041  3 Pm 3.20-3.42, 3 Y 3.36-3.45, 2 Sc 3.47
Y 0.0000 0.0000 0.5000  4 Y 3.27-3.42, 2 Pm 3.36, 4 Sc 3.66
Y 0.2203 0.2203 0.6575  5 Y 3.27-3.66, 3 Sc 3.39-3.44, 3 Pm 3.45-3.59
Y 0.7797 0.7797 0.3425  5 Y 3.27-3.66, 3 Sc 3.39-3.44, 3 Pm 3.45-3.59
Sc 0.3606 0.3606 0.0902  5 Y 3.39-3.66, 4 Sc 3.42-3.70, 4 Pm 3.47-3.70
Sc 0.6394 0.6394 0.9098  5 Y 3.39-3.66, 4 Sc 3.42-3.70, 4 Pm 3.47-3.70

Computed properties:
ΔE_f   169.1 meV per atom
Crystal system   monoclinic
Mass density   5.0 Mg/m³
Space-group type   C2/m, No. 12
E_tot   -40.37 eV/cell

***

Here is crystalline CeHo2Sc at its relaxed geometry from the Alexandria database. Energies are from PBE.

Cell lengths 4.8761, 4.8761, 4.8726 Å; angles 90.00, 90.00, 90.00 degrees
Closest atoms and distances in Å follow each position.
Atoms (fractional coordinates):
Ce 0.0000 0.0000 0.0000  8 Ho 3.45, 4 Sc 3.45
Ho 0.0000 0.5000 0.5000  4 Sc 3.45, 4 Ce 3.45, 4 Ho 3.45
Ho 0.5000 0.0000 0.5000  4 Sc 3.45, 4 Ce 3.45, 4 Ho 3.45
Sc 0.5000 0.5000 0.0000  8 Ho 3.45, 4 Ce 3.45

Computed properties:
ΔE_f   76.6 meV per atom
Crystal system   tetragonal
Mass density   7.4 Mg/m³
Space-group type   P4/mmm, No. 123
E_tot   -21.11 eV/cell

***

- ΔE_f of number 2 (Pm2Y3Sc2)?
  169.1 meV per atom

***

- Which formula does entry 1 have?
  ScBe3Pt